1.
The following is a DFT calculation (PBE) of crystalline LaGa3Ge3 at its relaxed geometry.

Magnetization: 0.4 μB per cell
Calculated volume: 24.45 A^3/atom
Electronic total energy: -56.23 eV for the cell shown
Crystal system: cubic
Energy of formation from the pure elements: -0.037 eV per atom

Geometry as POSCAR:
```
LaGa3Ge3
1.0
6.9950 0.0000 0.0000
0.0000 6.9950 0.0000
0.0000 0.0000 6.9950
La Ge Ga
2 6 6
Direct
0.5000 0.5000 0.5000 La
0.0000 0.0000 0.0000 La
0.0000 0.5000 0.2500 Ge
0.2500 0.0000 0.5000 Ge
0.5000 0.7500 0.0000 Ge
0.7500 0.0000 0.5000 Ge
0.5000 0.2500 0.0000 Ge
0.0000 0.5000 0.7500 Ge
0.7500 0.5000 0.0000 Ga
0.5000 0.0000 0.2500 Ga
0.5000 0.0000 0.7500 Ga
0.0000 0.7500 0.5000 Ga
0.2500 0.5000 0.0000 Ga
0.0000 0.2500 0.5000 Ga
```

***

2.
The following is a DFT calculation (PBE) of crystalline LaGa3Ge at its relaxed geometry.

Magnetization: 0.0 μB per cell
Calculated volume: 21.45 A^3/atom
Offset from the most stable computed form: 0.006 eV per atom
Electronic total energy: -41.46 eV for the cell shown
Crystal system: monoclinic
Energy of formation from the pure elements: -0.421 eV per atom

Geometry as POSCAR:
```
LaGa3Ge
1.0
-1.5199 -4.1575 3.9376
3.8369 -4.5336 -0.2621
3.7034 2.8763 4.4664
Ga La Ge
6 2 2
Direct
0.0500 0.7118 0.3015 Ga
0.0500 0.7118 0.8032 Ga
0.5105 0.2539 0.8015 Ga
0.1454 0.3494 0.5524 Ga
0.4152 0.6163 0.0524 Ga
0.5106 0.2539 0.3032 Ga
0.5468 0.7522 0.5524 La
0.0138 0.2135 0.0524 La
0.8908 0.0905 0.5524 Ge
0.6698 0.8752 0.0524 Ge
```

***

3.
The following is a DFT calculation (PBE) of crystalline Li2LaGaGe2 at its relaxed geometry.

Magnetization: 0.0 μB per cell
Calculated volume: 21.03 A^3/atom
Electronic total energy: -48.04 eV for the cell shown
Crystal system: orthorhombic
Energy of formation from the pure elements: -0.500 eV per atom

Geometry as POSCAR:
```
Li2LaGaGe2
1.0
-0.6736 -3.5764 2.2381
7.3142 -1.8342 -0.7296
1.6177 3.8256 6.6001
La Ge Ga Li
2 4 2 4
Direct
0.0000 0.4913 0.5829 La
0.0000 0.9913 0.4171 La
0.5000 0.7821 0.6369 Ge
0.0000 0.2129 0.8653 Ge
0.5000 0.2821 0.3631 Ge
0.0000 0.7129 0.1347 Ge
0.5000 0.6416 0.3080 Ga
0.5000 0.1416 0.6920 Ga
0.0000 0.8642 0.8353 Li
0.5000 0.5535 0.9434 Li
0.0000 0.3642 0.1647 Li
0.5000 0.0535 0.0566 Li
```

***

4.
The following is a DFT calculation (PBE) of crystalline LiLa2Ga3Ge4 at its relaxed geometry.

Magnetization: 0.0 μB per cell
Calculated volume: 21.36 A^3/atom
Electronic total energy: -43.75 eV for the cell shown
Crystal system: tetragonal
Energy of formation from the pure elements: -0.443 eV per atom

Geometry as POSCAR:
```
LiLa2Ga3Ge4
1.0
4.3982 0.0000 0.0000
0.0000 4.3982 0.0000
0.0000 0.0000 11.0403
La Ga Ge Li
2 3 4 1
Direct
0.0000 0.5000 0.7566 La
0.5000 0.0000 0.2434 La
0.0000 0.0000 0.5000 Ga
0.0000 0.5000 0.1314 Ga
0.5000 0.0000 0.8686 Ga
0.5000 0.0000 0.6385 Ge
0.0000 0.5000 0.3615 Ge
0.5000 0.5000 0.0000 Ge
0.0000 0.0000 0.0000 Ge
0.5000 0.5000 0.5000 Li
```

***

5.
The following is a DFT calculation (PBE) of crystalline Li3La2GaGe4 at its relaxed geometry.

Magnetization: 0.0 μB per cell
Calculated volume: 19.58 A^3/atom
Electronic total energy: -43.24 eV for the cell shown
Crystal system: tetragonal
Energy of formation from the pure elements: -0.615 eV per atom

Geometry as POSCAR:
```
Li3La2GaGe4
1.0
-3.2214 1.2176 2.5279
-2.6352 0.0091 -3.3624
-2.4203 -10.2837 1.8691
Ge La Li Ga
4 2 3 1
Direct
0.0000 0.0000 0.0000 Ge
0.5000 0.0000 0.6442 Ge
0.5000 0.5000 0.0000 Ge
0.0000 0.5000 0.3558 Ge
0.5000 0.0000 0.2418 La
0.0000 0.5000 0.7582 La
0.5000 0.0000 0.8744 Li
0.0000 0.5000 0.1256 Li
0.0000 0.0000 0.5000 Li
0.5000 0.5000 0.5000 Ga
```

***

6.
The following is a DFT calculation (PBE) of crystalline LiLaGaGe at its relaxed geometry.

Magnetization: 0.0 μB per cell
Calculated volume: 22.33 A^3/atom
Electronic total energy: -16.28 eV for the cell shown
Crystal system: cubic
Energy of formation from the pure elements: -0.449 eV per atom

Geometry as POSCAR:
```
LiLaGaGe
1.0
5.0176 0.0000 0.0000
2.5088 4.3454 0.0000
2.5088 1.4485 4.0968
Li La Ga Ge
1 1 1 1
Direct
0.5000 0.5000 0.5000 Li
0.0000 0.0000 0.0000 La
0.7500 0.7500 0.7500 Ga
0.2500 0.2500 0.2500 Ge
```

***

7.
The following is a DFT calculation (PBE) of crystalline LiLaGaGe2 at its relaxed geometry.

Magnetization: 0.0 μB per cell
Calculated volume: 20.57 A^3/atom
Electronic total energy: -21.99 eV for the cell shown
Crystal system: tetragonal
Energy of formation from the pure elements: -0.577 eV per atom

Geometry as POSCAR:
```
LiLaGaGe2
1.0
4.2308 0.0000 0.0000
0.0000 4.2308 0.0000
-2.1154 -2.1154 5.7471
La Ga Li Ge
1 1 1 2
Direct
0.0000 0.0000 0.0000 La
0.7500 0.2500 0.5000 Ga
0.2500 0.7500 0.5000 Li
0.6130 0.6130 0.2260 Ge
0.3870 0.3870 0.7740 Ge
```

***

8.
The following is a DFT calculation (PBE) of crystalline LaMnGaGe2 at its relaxed geometry.

Magnetization: 1.4 μB per cell
Calculated volume: 20.29 A^3/atom
Electronic total energy: -27.92 eV for the cell shown
Crystal system: tetragonal
Energy of formation from the pure elements: -0.313 eV per atom

Geometry as POSCAR:
```
LaMnGaGe2
1.0
-2.2189 -3.8432 -1.4242
1.1693 -2.1458 3.9686
-3.9366 1.5353 1.9900
Ge Mn La Ga
2 1 1 1
Direct
0.5000 0.0000 0.0000 Ge
0.0000 0.5000 0.0000 Ge
0.0000 0.0000 0.0000 Mn
0.5000 0.5000 0.5000 La
0.0000 0.0000 0.5000 Ga
```